# Tb7Pm3

Crystalline Tb7Pm3 at its relaxed geometry (PBE, the Alexandria database).

Structure (POSCAR):
```
Tb7Pm3
1.0
9.1346 -2.5333 0.0000
9.1346 2.5333 0.0000
-1.4132 0.0000 7.0532
Tb Pm
7 3
direct
0.0000 0.0000 0.0000 Tb
0.1998 0.1998 0.5997 Tb
0.4005 0.4005 0.2003 Tb
0.3998 0.3998 0.6994 Tb
0.6002 0.6002 0.3006 Tb
0.5995 0.5995 0.7997 Tb
0.8002 0.8002 0.4003 Tb
0.0000 0.0000 0.5000 Pm
0.1993 0.1993 0.1000 Pm
0.8007 0.8007 0.9000 Pm
```

Values from the calculation:
Volume: 32.64 A^3/atom
DFT total energy: -46.5 eV per formula unit
Relative energy among the computed polymorphs: 0 meV per atom